Entry 1:
DFT (meta-GGA SCAN) results for a crystal of AuNF2 relaxed with PBEsol.

POSCAR file:
```
AuNF2
1.0
2.956 0.000 0.000
1.478 2.560 0.000
1.478 0.853 7.096
F Au N
2 1 1
Direct
0.908 0.908 0.277
0.092 0.092 0.723
0.000 0.000 0.000
0.500 0.500 0.500
```

Values from the calculation:
- Total magnetic moment: 2.27 μB per cell
- DFT total energy: -20.6909 eV per atom
- Energy relative to the elements, uncorrected: 691 meV per atom
- Theoretical density: 7.7 Mg/m³

Entry 2:
DFT (meta-GGA SCAN) results for a crystal of Re2TeMo relaxed with PBEsol.

POSCAR file:
```
Re2TeMo
1.0
-1.139 -2.333 -1.081
1.789 1.229 -1.787
6.982 -5.042 3.522
Re Te Mo
2 1 1
Direct
0.500 0.500 0.779
0.000 0.000 0.000
0.000 0.000 0.496
0.500 0.500 0.225
```

Values from the calculation:
- Total magnetic moment: 0.00 μB per cell
- DFT total energy: -52.7909 eV per atom
- Energy relative to the elements, uncorrected: 792 meV per atom
- Theoretical density: 14.5 Mg/m³

Entry 3:
DFT (meta-GGA SCAN) results for a crystal of CrTeBr relaxed with PBEsol.

POSCAR file:
```
CrTeBr
1.0
3.714 0.000 0.000
-1.857 3.217 0.000
0.000 0.000 6.542
Cr Br Te
1 1 1
Direct
0.333 0.667 0.669
0.000 0.000 0.898
0.667 0.333 0.433
```

Values from the calculation:
- Total magnetic moment: 3.00 μB per cell
- DFT total energy: -25.7968 eV per atom
- Energy relative to the elements, uncorrected: -765 meV per atom
- Theoretical density: 5.5 Mg/m³

Entry 4:
DFT (meta-GGA SCAN) results for a crystal of ScAg2 relaxed with PBEsol.

POSCAR file:
```
ScAg2
1.0
-0.692 -0.582 3.428
-1.676 -3.006 -0.848
9.314 -2.975 -0.457
Ag Sc
4 2
Direct
0.677 0.177 0.354
0.823 0.323 0.646
0.427 0.427 0.854
0.573 0.573 0.146
0.250 0.750 0.500
0.000 0.000 0.000
```

Values from the calculation:
- Total magnetic moment: 0.00 μB per cell
- Energy of formation from the pure elements: -10.0 kJ/mol of atoms
- DFT total energy: -25.7607 eV per atom
- Theoretical density: 7.3 Mg/m³
- Offset from the most stable computed form: 74 kJ/mol of formula units

Entry 5:
DFT (meta-GGA SCAN) results for a crystal of MgAs2Ir relaxed with PBEsol.

POSCAR file:
```
MgAs2Ir
1.0
4.528 0.000 0.000
2.264 3.921 0.000
2.264 1.307 3.697
Mg As Ir
1 2 1
Direct
0.250 0.250 0.250
0.750 0.750 0.750
0.000 0.000 0.000
0.500 0.500 0.500
```

Values from the calculation:
- Total magnetic moment: 0.00 μB per cell
- Energy of formation from the pure elements: 16.9 kJ/mol of atoms
- DFT total energy: -28.9384 eV per atom
- Theoretical density: 9.3 Mg/m³

Entry 6:
DFT (meta-GGA SCAN) results for a crystal of TlReMo2 relaxed with PBEsol.

POSCAR file:
```
TlReMo2
1.0
2.924 0.000 0.005
0.000 4.029 0.000
-0.059 0.000 5.749
Re Mo Tl
1 2 1
Direct
0.014 0.000 0.454
0.020 0.000 0.038
0.465 0.500 0.256
0.501 0.500 0.752
```

Values from the calculation:
- Total magnetic moment: 0.00 μB per cell
- Energy of formation from the pure elements: 51.6 kJ/mol of atoms
- DFT total energy: -52.7715 eV per atom
- Theoretical density: 14.3 Mg/m³
- Offset from the most stable computed form: 29 kJ/mol of formula units

Entry 7:
DFT (meta-GGA SCAN) results for a crystal of LiTiMnRu2 relaxed with PBEsol.

POSCAR file:
```
LiTiMnRu2
1.0
-3.742 0.217 0.746
0.518 -2.444 3.309
0.665 3.341 2.363
Li Ru Ti Mn
1 2 1 1
Direct
0.000 0.000 0.000
0.000 0.500 0.000
0.000 0.000 0.500
0.500 0.500 0.500
0.500 0.000 0.000
```

Values from the calculation:
- Total magnetic moment: 3.43 μB per cell
- Energy of formation from the pure elements: 44.0 kJ/mol of atoms
- DFT total energy: -20.8097 eV per atom
- Theoretical density: 7.9 Mg/m³

Entry 8:
DFT (meta-GGA SCAN) results for a crystal of NaAlBr2 relaxed with PBEsol.

POSCAR file:
```
NaAlBr2
1.0
3.802 0.000 0.000
1.901 3.293 0.000
1.901 1.098 8.760
Br Al Na
2 1 1
Direct
0.098 0.098 0.707
0.902 0.902 0.293
0.000 0.000 0.000
0.500 0.500 0.500
```

Values from the calculation:
- Total magnetic moment: 0.00 μB per cell
- DFT total energy: -13.4810 eV per atom
- Energy relative to the elements, uncorrected: -760 meV per atom
- Theoretical density: 3.2 Mg/m³